A plane-wave DFT calculation with meta-GGA SCAN was carried out for POsO2F at its PBEsol-relaxed geometry.

a b c (Å): 3.269 3.269 6.550
angles (deg): 90.00 90.00 90.00
Fractional coordinates of all 5 atoms:
Os 0.500 0.500 0.500
F 0.000 0.000 0.500
P 0.000 0.000 0.000
O 0.000 0.500 0.000
O 0.500 0.000 0.000

SG = P4/mmm
uncorrected formation energy = 261 meV per atom
D(E_F) = 3.039 states/eV per cell
energy = -19.395 eV/atom
crystal system = tetragonal